1.
A geometry-optimized KCa2Eu structure. Source: the Alexandria database, functional PBE.

Values from the calculation:
* E_tot: -14.722 eV/cell
* space group: P4/mmm
* DFT formation energy: 0.163 eV per atom
* density: 2.37 g/cm³
* D(E_F): 13.097 states/eV per cell
* distance to the lowest polymorph of the same formula: 0.071 eV/atom

Cell: 4.2129 6.7108 6.7108 Å, 90.00 90.00 90.00°
Each line ends with the local moment (μB).
Positions (direct):
Eu1 0.5000 0.5000 0.5000  -7.00
Ca1 0.0000 0.0000 0.5000  -0.04
Ca2 0.0000 0.5000 0.0000  -0.04
K1 0.5000 0.0000 0.0000  0.00

2.
A geometry-optimized KCaEu4 structure. Source: the Alexandria database, functional PBE.

Values from the calculation:
* E_tot: -43.014 eV/cell
* space group: F-43m
* DFT formation energy: 0.197 eV per atom
* density: 3.87 g/cm³
* D(E_F): 7.312 states/eV per cell

Cell: 7.4689 7.4689 7.4689 Å, 60.00 60.00 60.00°
Each line ends with the local moment (μB).
Positions (direct):
Eu1 0.6258 0.6258 0.1227  7.01
Eu2 0.6258 0.1227 0.6258  7.01
Eu3 0.6258 0.6258 0.6258  7.01
Eu4 0.1227 0.6258 0.6258  7.01
Ca1 0.0000 0.0000 0.0000  0.00
K1 0.2500 0.2500 0.2500  0.00

3.
A geometry-optimized KCaEu2 structure. Source: the Alexandria database, functional PBE.

Values from the calculation:
* E_tot: -22.876 eV/cell
* space group: P4/mmm
* DFT formation energy: 0.193 eV per atom
* density: 3.24 g/cm³
* D(E_F): 22.948 states/eV per cell
* distance to the lowest polymorph of the same formula: 0.100 eV/atom

Cell: 5.9999 5.7186 5.7186 Å, 90.00 90.00 90.00°
Each line ends with the local moment (μB).
Positions (direct):
Eu1 0.0000 0.0000 0.5000  7.02
Eu2 0.0000 0.5000 0.0000  7.02
Ca1 0.5000 0.5000 0.5000  0.04
K1 0.5000 0.0000 0.0000  0.01

4.
A geometry-optimized KCa2Eu structure. Source: the Alexandria database, functional PBE.

Values from the calculation:
* E_tot: -15.007 eV/cell
* space group: R-3m
* DFT formation energy: 0.092 eV per atom
* density: 2.38 g/cm³
* D(E_F): 4.467 states/eV per cell
* distance to the lowest polymorph of the same formula: 0.000 eV/atom

Cell: 3.9910 3.9910 13.8973 Å, 81.74 81.74 60.00°
Each line ends with the local moment (μB).
Positions (direct):
Eu1 0.0000 0.0000 0.0000  -6.99
Ca1 0.7442 0.7442 0.7675  -0.01
Ca2 0.2558 0.2558 0.2325  -0.01
K1 0.5000 0.5000 0.5000  0.00

5.
A geometry-optimized KCaEu structure. Source: the Alexandria database, functional PBE.

Values from the calculation:
* E_tot: -13.012 eV/cell
* space group: P3m1
* DFT formation energy: 0.120 eV per atom
* density: 2.57 g/cm³
* D(E_F): 2.830 states/eV per cell
* distance to the lowest polymorph of the same formula: 0.000 eV/atom

Cell: 4.0394 4.0394 10.5534 Å, 90.00 90.00 120.00°
Each line ends with the local moment (μB).
Positions (direct):
Eu1 0.3333 0.6667 0.6476  6.98
Ca1 0.6667 0.3333 0.3497  0.01
K1 0.0000 0.0000 0.0027  0.00

6.
A geometry-optimized KCaEu structure. Source: the Alexandria database, functional PBE.

Values from the calculation:
* E_tot: -12.966 eV/cell
* space group: I4mm
* DFT formation energy: 0.136 eV per atom
* density: 2.53 g/cm³
* D(E_F): 11.371 states/eV per cell
* distance to the lowest polymorph of the same formula: 0.015 eV/atom

Cell: 3.9594 3.9594 10.0821 Å, 101.32 101.32 90.00°
Each line ends with the local moment (μB).
Positions (direct):
Eu1 0.6790 0.6790 0.3581  -7.03
Ca1 0.3230 0.3230 0.6460  -0.03
K1 0.9980 0.9980 0.9959  0.00

7.
A geometry-optimized KCa2Eu structure. Source: the Alexandria database, functional PBE.

Values from the calculation:
* E_tot: -14.975 eV/cell
* space group: P4/mmm
* DFT formation energy: 0.100 eV per atom
* density: 2.35 g/cm³
* D(E_F): 4.309 states/eV per cell
* distance to the lowest polymorph of the same formula: 0.008 eV/atom

Cell: 3.9419 3.9419 12.3556 Å, 90.00 90.00 90.00°
Each line ends with the local moment (μB).
Positions (direct):
Eu1 0.5000 0.5000 0.0000  -6.95
Ca1 0.0000 0.0000 0.7746  -0.02
Ca2 0.0000 0.0000 0.2254  -0.02
K1 0.5000 0.5000 0.5000  0.00

8.
A geometry-optimized KCaEu2 structure. Source: the Alexandria database, functional PBE.

Values from the calculation:
* E_tot: -23.167 eV/cell
* space group: P4/mmm
* DFT formation energy: 0.120 eV per atom
* density: 3.22 g/cm³
* D(E_F): 19.801 states/eV per cell
* distance to the lowest polymorph of the same formula: 0.027 eV/atom

Cell: 3.9559 3.9559 12.6409 Å, 90.00 90.00 90.00°
Each line ends with the local moment (μB).
Positions (direct):
Eu1 0.0000 0.0000 0.7786  7.03
Eu2 0.0000 0.0000 0.2214  7.03
Ca1 0.5000 0.5000 0.0000  0.04
K1 0.5000 0.5000 0.5000  0.01